Material: Tc5Cl3
Method: DFT, PBE
State: relaxed

Geometry as CIF:
```
data_Tc5Cl3
_symmetry_space_group_name_H-M 'P 1'
_symmetry_Int_Tables_number 1
_symmetry_space_group_name_Hall 'P 1'
_cell_length_a 6.172
_cell_length_b 7.143
_cell_length_c 8.036
_cell_angle_alpha 85.03
_cell_angle_beta 75.24
_cell_angle_gamma 76.72
loop_
_atom_site_label
_atom_site_type_symbol
_atom_site_fract_x
_atom_site_fract_y
_atom_site_fract_z
Tc1 Tc 0.000 0.000 0.000
Tc2 Tc 0.014 0.222 0.482
Tc3 Tc 0.088 0.268 0.115
Tc4 Tc 0.251 0.952 0.280
Tc5 Tc 0.391 0.293 0.288
Tc6 Tc 0.425 0.011 0.511
Tc7 Tc 0.583 0.057 0.059
Tc8 Tc 0.678 0.790 0.285
Tc9 Tc 0.787 0.101 0.306
Tc10 Tc 0.895 0.857 0.522
Cl1 Cl 0.081 0.252 0.774
Cl2 Cl 0.156 0.641 0.290
Cl3 Cl 0.163 0.778 0.752
Cl4 Cl 0.619 0.033 0.754
Cl5 Cl 0.698 0.495 0.125
Cl6 Cl 0.731 0.541 0.557
```

Computed properties:
- Symmetry: P1, No. 1
- Energy relative to the elements, uncorrected: 1.574 eV/f.u.
- Magnetization: 0.000 μB per formula unit
- Electronic total energy: -6.97 eV/atom